Entry 1:
Entry from the Alexandria database: a relaxed structure of Zr2NpAl (GGA-PBE).

Computed properties:
**Formation energy from the elements**: 114 meV per atom
**Symmetry**: Fm-3m (225)
**Raw total energy**: -8.331 eV/atom

```
data_Zr2NpAl
_chemical_formula_sum 'Zr2 Np1 Al1'
_cell_length_a 4.9418
_cell_length_b 4.9418
_cell_length_c 4.9418
_cell_angle_alpha 60.00
_cell_angle_beta 60.00
_cell_angle_gamma 60.00
_space_group_name_H-M_alt 'P 1'
_space_group_IT_number 1
_space_group_name_Hall 'P 1'
loop_
_atom_site_label
_atom_site_type_symbol
_atom_site_fract_x
_atom_site_fract_y
_atom_site_fract_z
Np1 Np 0.5000 0.5000 0.5000
Zr1 Zr 0.7500 0.7500 0.7500
Zr2 Zr 0.2500 0.2500 0.2500
Al1 Al 0.0000 0.0000 0.0000
```



Entry 2:
Entry from the Alexandria database: a relaxed structure of AlO (GGA-PBE).

Computed properties:
**ΔE_f (raw)**: -2.158 eV per atom
**Symmetry**: P6_3/m (176)
**Raw total energy**: -6.508 eV/atom

```
data_AlO
_chemical_formula_sum 'Al6 O6'
_cell_length_a 7.8665
_cell_length_b 7.8665
_cell_length_c 2.9573
_cell_angle_alpha 90.00
_cell_angle_beta 90.00
_cell_angle_gamma 120.00
_space_group_name_H-M_alt 'P 1'
_space_group_IT_number 1
_space_group_name_Hall 'P 1'
loop_
_atom_site_label
_atom_site_type_symbol
_atom_site_fract_x
_atom_site_fract_y
_atom_site_fract_z
O1 O 0.6716 0.9684 0.2500
O2 O 0.7032 0.6716 0.7500
O3 O 0.0316 0.7032 0.2500
O4 O 0.9684 0.2968 0.7500
O5 O 0.2968 0.3284 0.2500
O6 O 0.3284 0.0316 0.7500
Al1 Al 0.4271 0.1883 0.2500
Al2 Al 0.5729 0.8117 0.7500
Al3 Al 0.8117 0.2388 0.2500
Al4 Al 0.7612 0.5729 0.2500
Al5 Al 0.2388 0.4271 0.7500
Al6 Al 0.1883 0.7612 0.7500
```



Entry 3:
Entry from the Alexandria database: a relaxed structure of AlO (GGA-PBE).

Computed properties:
**ΔE_f (raw)**: -1.563 eV per atom
**Symmetry**: Pm-3n (223)
**Raw total energy**: -5.913 eV/atom

```
data_AlO
_chemical_formula_sum 'Al6 O6'
_cell_length_a 5.5255
_cell_length_b 5.5255
_cell_length_c 5.5255
_cell_angle_alpha 90.00
_cell_angle_beta 90.00
_cell_angle_gamma 90.00
_space_group_name_H-M_alt 'P 1'
_space_group_IT_number 1
_space_group_name_Hall 'P 1'
loop_
_atom_site_label
_atom_site_type_symbol
_atom_site_fract_x
_atom_site_fract_y
_atom_site_fract_z
O1 O 0.5000 0.0000 0.2500
O2 O 0.5000 0.0000 0.7500
O3 O 0.0000 0.7500 0.5000
O4 O 0.0000 0.2500 0.5000
O5 O 0.7500 0.5000 0.0000
O6 O 0.2500 0.5000 0.0000
Al1 Al 0.0000 0.5000 0.2500
Al2 Al 0.5000 0.7500 0.0000
Al3 Al 0.7500 0.0000 0.5000
Al4 Al 0.5000 0.2500 0.0000
Al5 Al 0.2500 0.0000 0.5000
Al6 Al 0.0000 0.5000 0.7500
```



Entry 4:
Entry from the Alexandria database: a relaxed structure of AlO (GGA-PBE).

Computed properties:
**ΔE_f (raw)**: -2.228 eV per atom
**Symmetry**: Pmmn (59)
**Raw total energy**: -6.578 eV/atom

```
data_AlO
_chemical_formula_sum 'Al6 O6'
_cell_length_a 2.9894
_cell_length_b 4.3303
_cell_length_c 9.9761
_cell_angle_alpha 90.00
_cell_angle_beta 90.00
_cell_angle_gamma 90.00
_space_group_name_H-M_alt 'P 1'
_space_group_IT_number 1
_space_group_name_Hall 'P 1'
loop_
_atom_site_label
_atom_site_type_symbol
_atom_site_fract_x
_atom_site_fract_y
_atom_site_fract_z
Al1 Al 0.5000 0.2836 0.6931
Al2 Al 0.5000 0.2836 0.3069
Al3 Al 0.0000 0.7164 0.1931
Al4 Al 0.0000 0.7384 0.5000
Al5 Al 0.0000 0.7164 0.8069
Al6 Al 0.5000 0.2616 0.0000
O1 O 0.5000 0.9897 0.1398
O2 O 0.0000 0.4977 0.0000
O3 O 0.0000 0.0103 0.3602
O4 O 0.5000 0.5023 0.5000
O5 O 0.0000 0.0103 0.6398
O6 O 0.5000 0.9897 0.8602
```



What is the raw total energy in the first record?
-8.331 eV/atom



What is the raw total energy in the first record?
-8.331 eV/atom